A plane-wave DFT calculation with PBE was carried out for crystalline CaNd3Dy at its relaxed geometry.

CIF file:
```
data_CaNd3Dy
_space_group_name_H-M_alt 'R -3'
_space_group_IT_number 148
_space_group_name_Hall '-R 3'
_cell_length_a 6.2228
_cell_length_b 6.2228
_cell_length_c 35.4561
_cell_angle_alpha 90.00
_cell_angle_beta 90.00
_cell_angle_gamma 120.00
loop_
_atom_site_label
_atom_site_fract_x
_atom_site_fract_y
_atom_site_fract_z
Ca1 0.0000 0.0000 0.1667
Nd1 0.0037 0.6628 0.7451
Dy1 0.0000 0.0000 0.3336
```

Summary:
energy relative to the lowest polymorph listed for this composition = 268 meV/atom
energy of formation = 0.362 eV/atom
total magnetic moment = 0.00 μB per cell